[1]
Li3NpF8 | Alexandria via LeMat-Bulk | PBE-GGA | relaxed; distance to the lowest polymorph of the same formula = 0 meV/atom; formation energy from raw total energies = -3.048 eV/atom; space group = No. 221; DOS at the Fermi energy = 0.939 states/eV/atom; crystal system = cubic; E = -70.23 eV for the cell shown
1.0
5.182 0.000 0.000
0.000 5.182 0.000
0.000 0.000 5.182
Li Np F
3 1 8
Direct
0.000 0.000 0.500
0.000 0.500 0.000
0.500 0.000 0.000
0.500 0.500 0.500
0.256 0.256 0.256
0.256 0.256 0.744
0.256 0.744 0.256
0.256 0.744 0.744
0.744 0.256 0.256
0.744 0.256 0.744
0.744 0.744 0.256
0.744 0.744 0.744

=====

[2]
LiNp2F8 | Alexandria via LeMat-Bulk | PBE-GGA | relaxed; distance to the lowest polymorph of the same formula = 179 meV/atom; formation energy from raw total energies = -3.212 eV/atom; space group = No. 12; DOS at the Fermi energy = 0.868 states/eV/atom; crystal system = monoclinic; E = -78.10 eV for the cell shown
1.0
6.400 -2.441 0.000
6.400 2.441 0.000
-0.215 0.000 5.566
Li Np F
1 2 8
Direct
0.000 0.000 0.000
0.126 0.126 0.544
0.874 0.874 0.456
0.157 0.157 0.926
0.226 0.744 0.717
0.256 0.774 0.283
0.303 0.303 0.460
0.697 0.697 0.540
0.744 0.226 0.717
0.774 0.256 0.283
0.843 0.843 0.074

=====

[3]
LiNp2F11 | Alexandria via LeMat-Bulk | PBE-GGA | relaxed; formation energy from raw total energies = -3.205 eV/atom; space group = No. 72; DOS at the Fermi energy = 0.728 states/eV/atom; crystal system = orthorhombic; E = -186.49 eV for the cell shown
1.0
-4.435 4.863 5.368
4.435 -4.863 5.368
4.435 4.863 -5.368
Li Np F
2 4 22
Direct
0.250 0.250 0.000
0.750 0.750 0.000
0.202 0.629 0.831
0.298 0.129 0.428
0.702 0.871 0.572
0.798 0.371 0.169
0.000 0.500 0.500
0.020 0.935 0.223
0.050 0.414 0.186
0.211 0.351 0.562
0.212 0.435 0.915
0.229 0.864 0.814
0.271 0.086 0.635
0.288 0.204 0.223
0.289 0.851 0.140
0.450 0.636 0.365
0.480 0.704 0.915
0.500 0.000 0.500
0.520 0.296 0.085
0.550 0.364 0.635
0.711 0.149 0.860
0.712 0.796 0.777
0.729 0.914 0.365
0.771 0.136 0.186
0.788 0.565 0.085
0.789 0.649 0.438
0.950 0.586 0.814
0.980 0.065 0.777